{"formula": "DyGa2Cu5", "functional": "PBE", "state": "relaxed", "energy_ev_per_atom": -4.1003, "delta_e_f_ev_per_atom": -0.208, "dos_ef_per_ev_fu": 3.3, "lattice": [[-0.5427, 3.2029, 1.8634], [-5.6221, -0.3040, 2.6485], [0.2546, -1.3039, 6.0786]], "species": ["Cu", "Cu", "Ga", "Cu", "Dy", "Cu", "Ga", "Cu"], "fractional_positions": [[0.3683, 0.4460, 0.8173], [0.6317, 0.1827, 0.5540], [0.2533, 0.2467, 0.2467], [0.3683, 0.8173, 0.4460], [0.0000, 0.0000, 0.0000], [0.6317, 0.5540, 0.1827], [0.7467, 0.7533, 0.7533], [0.0000, 0.5000, 0.5000]]}